{
  "formula": "BaCaY",
  "functional": "PBE",
  "state": "relaxed",
  "lattice": [[4.344, 0.000, 0.000], [0.000, 6.216, 0.000], [0.000, 0.000, 18.963]],
  "species": ["Ba", "Ba", "Ba", "Ba", "Ca", "Ca", "Ca", "Ca", "Y", "Y", "Y", "Y"],
  "fractional_positions": [[0.000, 0.000, 0.000], [0.000, 0.500, 0.500], [0.500, 0.000, 0.500], [0.500, 0.500, 0.000], [0.000, 0.000, 0.318], [0.000, 0.500, 0.818], [0.500, 0.000, 0.818], [0.500, 0.500, 0.318], [0.000, 0.000, 0.667], [0.000, 0.500, 0.167], [0.500, 0.000, 0.167], [0.500, 0.500, 0.667]],
  "sg": "No. 42",
  "polymorph_energy_kj_per_mol_fu": 4,
  "e_form_ev_per_atom": 0.1863,
  "final_energy_ev_per_atom": -3.28,
  "magnetic_moment_mub_per_atom": 0.00
}